Entry 1:
Pm4Eu2O, relaxed, DFT PBE-GGA; V = 227.2 Å³ per cell; crystal system = tetragonal; raw formation energy = -0.62 eV per atom
1.0
-0.947 2.874 -3.962
-2.199 -3.855 -2.271
-6.446 2.905 6.785
Pm O Eu
4 1 2
Direct
0.868 0.868 0.736
0.000 0.500 0.000
0.500 0.000 0.000
0.132 0.132 0.264
0.000 0.000 0.000
0.333 0.333 0.666
0.667 0.667 0.334



Entry 2:
NdDyAl, relaxed, DFT PBE-GGA; V = 83.0 Å³ per cell; crystal system = trigonal; formation energy from the elements = -0.419 eV/f.u.
1.0
3.652 0.000 0.000
0.000 5.123 0.000
0.000 -2.562 4.437
Al Nd Dy
1 1 1
Direct
0.700 0.667 0.333
0.368 0.333 0.667
0.931 0.000 0.000



Entry 3:
Sr4ZnCd3, relaxed, DFT PBE-GGA; V = 278.9 Å³ per cell; crystal system = orthorhombic; formation energy from the elements = -2.196 eV/f.u.
1.0
4.491 0.000 0.000
0.000 4.973 0.000
0.000 0.000 12.491
Sr Cd Zn
4 3 1
Direct
0.000 0.000 0.143
0.500 0.500 0.348
0.500 0.000 0.649
0.000 0.500 0.860
0.000 0.000 0.429
0.000 0.500 0.570
0.500 0.000 0.936
0.500 0.500 0.066



Entry 4:
NpAlTc2, relaxed, DFT PBE-GGA; V = 65.1 Å³ per cell; crystal system = tetragonal; formation energy from the elements = -0.789 eV/f.u.
1.0
3.389 0.000 0.000
0.000 4.382 0.000
0.000 0.000 4.382
Al Tc Np
1 2 1
Direct
0.500 0.000 0.000
0.000 0.000 0.500
0.000 0.500 0.000
0.500 0.500 0.500



Entry 5:
Tb4Pr7Y, relaxed, DFT PBE-GGA; V = 422.8 Å³ per cell; crystal system = monoclinic; formation energy from the elements = 2.536 eV/f.u.
1.0
-0.919 4.987 3.344
-9.173 3.195 -1.769
-6.179 -1.444 5.972
Pr Tb Y
7 4 1
Direct
0.915 0.447 0.723
0.789 0.883 0.539
0.500 0.000 0.000
0.212 0.764 0.811
0.211 0.117 0.461
0.085 0.553 0.277
0.788 0.236 0.189
0.571 0.302 0.556
0.671 0.616 0.043
0.429 0.698 0.444
0.329 0.384 0.957
0.000 0.000 0.000



Entry 6:
HgHS, relaxed, DFT PBE-GGA; V = 161.7 Å³ per cell; crystal system = monoclinic
1.0
4.134 0.012 -0.031
0.050 4.134 -0.014
1.925 1.854 9.437
Hg H S
2 2 2
Direct
0.535 0.603 0.824
0.782 0.357 0.324
0.104 0.966 0.105
0.172 0.035 0.543
0.194 0.362 0.488
0.778 0.944 0.159



Entry 7:
LaEr2Hg, relaxed, DFT PBE-GGA; V = 122.8 Å³ per cell; crystal system = trigonal; formation energy from the elements = -0.552 eV/f.u.
1.0
3.649 0.000 0.000
1.825 3.160 0.000
1.825 1.053 10.652
Hg La Er
1 1 2
Direct
0.666 0.666 0.001
0.500 0.500 0.499
0.073 0.073 0.782
0.261 0.261 0.218



Entry 8:
PmDyHoHg, relaxed, DFT PBE-GGA; V = 112.9 Å³ per cell; crystal system = cubic; formation energy from the elements = -0.085 eV/f.u.
1.0
-2.491 -0.061 -4.819
-5.093 -1.827 -0.398
-4.054 3.464 -1.002
Pm Dy Hg Ho
1 1 1 1
Direct
0.750 0.750 0.750
0.500 0.500 0.500
0.250 0.250 0.250
0.000 0.000 0.000



Entry 9:
MgBRu2, relaxed, DFT PBE-GGA; V = 51.0 Å³ per cell; crystal system = tetragonal; formation energy from the elements = 0.119 eV/f.u.
1.0
2.789 0.000 0.000
0.000 2.789 0.000
0.000 0.000 6.556
Ru B Mg
2 1 1
Direct
0.000 0.000 0.811
0.000 0.000 0.189
0.500 0.500 0.000
0.500 0.500 0.500



Entry 10:
Th8Te4Ir3Au, relaxed, DFT PBE-GGA; V = 477.7 Å³ per cell; crystal system = trigonal; raw formation energy = -1.05 eV per atom
1.0
-4.543 -6.999 1.451
0.169 -1.954 -8.896
7.422 1.122 3.934
Th Te Ir Au
8 4 3 1
Direct
0.758 0.293 0.516
0.242 0.707 0.965
0.265 0.295 0.530
0.242 0.707 0.484
0.758 0.293 0.035
0.277 0.293 0.035
0.735 0.705 0.470
0.723 0.707 0.965
0.500 0.000 0.500
0.000 0.000 0.000
0.000 0.000 0.500
0.500 0.000 0.000
0.500 0.500 0.000
0.000 0.500 0.500
0.500 0.500 0.500
0.000 0.500 0.000



Entry 11:
ErThOs, relaxed, DFT PBE-GGA; V = 154.3 Å³ per cell; crystal system = monoclinic; formation energy from the elements = -0.775 eV/f.u.
1.0
-2.399 2.940 1.534
-2.924 -2.145 4.999
3.232 2.566 5.595
Os Er Th
2 2 2
Direct
0.350 0.638 0.661
0.650 0.362 0.339
0.676 0.722 0.927
0.324 0.278 0.073
0.083 0.198 0.635
0.917 0.802 0.365



Entry 12:
Rb6Cd2Ag, relaxed, DFT PBE-GGA; V = 1004.5 Å³ per cell; crystal system = orthorhombic; formation energy from the elements = 0.220 eV/f.u.
1.0
-6.841 6.934 -4.966
1.123 -8.655 -6.585
-9.588 -4.923 -1.839
Rb Ag Cd
12 2 4
Direct
0.328 0.044 0.284
0.175 0.261 0.564
0.825 0.739 0.436
0.672 0.956 0.716
0.175 0.739 0.086
0.949 0.751 0.802
0.051 0.249 0.198
0.672 0.389 0.284
0.328 0.611 0.716
0.825 0.261 0.914
0.447 0.249 0.802
0.553 0.751 0.198
0.000 0.000 0.000
0.500 0.500 0.000
0.380 0.000 0.620
0.620 0.000 0.380
0.113 0.613 0.500
0.887 0.387 0.500



Entry 13:
Cs2Pt4Pb5, relaxed, DFT PBE-GGA; V = 353.6 Å³ per cell; crystal system = monoclinic; formation energy from the elements = -1.434 eV/f.u.
1.0
-0.465 6.060 5.282
-5.574 4.924 -0.002
-2.783 -1.459 7.566
Pt Pb Cs
4 5 2
Direct
0.171 0.548 0.110
0.677 0.864 0.782
0.829 0.452 0.890
0.323 0.136 0.218
0.234 0.230 0.890
0.355 0.770 0.110
0.766 0.770 0.110
0.000 0.500 0.500
0.645 0.230 0.890
0.722 0.192 0.363
0.278 0.808 0.637



Entry 14:
FeSi2Pt, relaxed, DFT PBE-GGA; V = 51.7 Å³ per cell; crystal system = trigonal; raw formation energy = -0.31 eV per atom
1.0
7.793 0.014 0.008
7.286 2.765 0.008
7.286 1.343 2.417
Fe Pt Si
1 1 2
Direct
0.250 0.250 0.250
0.750 0.750 0.750
0.992 0.992 0.992
0.508 0.508 0.508



Entry 15:
BaYBr2, relaxed, DFT PBE-GGA; V = 342.6 Å³ per cell; crystal system = tetragonal; raw formation energy = -0.92 eV per atom
1.0
6.932 0.000 0.000
0.000 6.932 0.000
3.466 3.466 7.128
Ba Br Y
2 4 2
Direct
0.000 0.000 0.000
0.750 0.250 0.500
0.176 0.625 0.250
0.375 0.426 0.750
0.574 0.125 0.250
0.875 0.824 0.750
0.500 0.500 0.000
0.250 0.750 0.500



Entry 16:
Ti6InPd2, relaxed, DFT PBE-GGA; V = 164.9 Å³ per cell; crystal system = tetragonal; formation energy from the elements = -1.594 eV/f.u.
1.0
4.248 0.000 0.000
0.000 4.248 0.000
0.000 0.000 9.138
Ti Pd In
6 2 1
Direct
0.500 0.000 0.293
0.500 0.500 0.500
0.500 0.000 0.707
0.000 0.000 0.500
0.000 0.500 0.707
0.000 0.500 0.293
0.500 0.500 0.137
0.500 0.500 0.863
0.000 0.000 0.000



Entry 17:
BP2Au, relaxed, DFT PBE-GGA; V = 152.0 Å³ per cell; crystal system = monoclinic; formation energy from the elements = 0.605 eV/f.u.
1.0
-2.431 3.507 -5.050
-1.717 -2.535 -0.934
-3.551 -0.578 8.098
P Au B
4 2 2
Direct
0.829 0.500 0.493
0.829 0.000 0.993
0.571 0.500 0.166
0.571 0.000 0.666
0.242 0.500 0.570
0.242 0.000 0.070
0.741 0.500 0.057
0.741 0.000 0.557



Entry 18:
Pr2Er3Sn4, relaxed, DFT PBE-GGA; V = 521.1 Å³ per cell; crystal system = monoclinic; formation energy from the elements = -7.089 eV/f.u.
1.0
-3.477 -2.181 6.912
-1.989 -5.347 -6.044
6.656 -4.615 1.892
Sn Pr Er
8 4 6
Direct
0.656 0.917 0.041
0.863 0.491 0.135
0.156 0.917 0.459
0.363 0.491 0.365
0.637 0.509 0.635
0.344 0.083 0.959
0.844 0.083 0.541
0.137 0.509 0.865
0.937 0.808 0.823
0.563 0.192 0.323
0.437 0.808 0.677
0.063 0.192 0.177
0.743 0.248 0.833
0.500 0.500 0.000
0.243 0.248 0.667
0.757 0.752 0.333
0.257 0.752 0.167
0.000 0.500 0.500



Entry 19:
Sm3DyFe, relaxed, DFT PBE-GGA; V = 152.8 Å³ per cell; crystal system = cubic; formation energy from the elements = 0.948 eV/f.u.
1.0
5.346 0.000 0.000
0.000 5.346 0.000
0.000 0.000 5.346
Fe Sm Dy
1 3 1
Direct
0.000 0.000 0.000
0.500 0.000 0.000
0.000 0.500 0.000
0.000 0.000 0.500
0.500 0.500 0.500



Entry 20:
Hf12Zn2Ir5, relaxed, DFT PBE-GGA; V = 399.8 Å³ per cell; crystal system = monoclinic; formation energy from the elements = -7.355 eV/f.u.
1.0
6.520 0.000 0.000
-3.260 7.213 0.586
0.000 -1.885 8.349
Zn Hf Ir
2 12 5
Direct
0.680 0.000 0.000
0.320 0.000 0.000
0.108 0.707 0.419
0.031 0.062 0.816
0.480 0.959 0.694
0.520 0.041 0.306
0.060 0.637 0.875
0.969 0.938 0.184
0.577 0.637 0.875
0.599 0.707 0.419
0.401 0.293 0.581
0.423 0.363 0.125
0.940 0.363 0.125
0.892 0.293 0.581
0.000 0.000 0.500
0.661 0.323 0.862
0.339 0.677 0.138
0.709 0.419 0.362
0.291 0.581 0.638



Entry 21:
ZnCuPdF6, relaxed, DFT PBE-GGA; V = 226.8 Å³ per cell; crystal system = trigonal; raw formation energy = -1.62 eV per atom
1.0
-0.660 1.906 -4.892
-3.643 -3.211 2.102
-4.513 7.410 3.497
F Zn Cu Pd
12 2 2 2
Direct
0.339 0.997 0.133
0.342 0.003 0.633
0.339 0.342 0.367
0.658 0.661 0.133
0.661 0.003 0.867
0.658 0.997 0.367
0.997 0.658 0.867
0.003 0.342 0.133
0.342 0.339 0.867
0.997 0.339 0.633
0.661 0.658 0.633
0.003 0.661 0.367
0.333 0.667 0.750
0.667 0.333 0.250
0.667 0.333 0.750
0.333 0.667 0.250
0.000 0.000 0.500
0.000 0.000 0.000



Entry 22:
Be2TlRu, relaxed, DFT PBE-GGA; V = 131.4 Å³ per cell; crystal system = tetragonal; formation energy from the elements = 2.095 eV/f.u.
1.0
-1.677 -1.458 -3.383
2.826 -2.894 -0.154
-4.109 -6.983 2.625
Tl Be Ru
2 4 2
Direct
0.000 0.000 0.000
0.750 0.250 0.500
0.875 0.659 0.750
0.341 0.625 0.250
0.409 0.125 0.250
0.375 0.591 0.750
0.250 0.750 0.500
0.500 0.500 0.000



Entry 23:
KOs2Cl, relaxed, DFT PBE-GGA; V = 71.1 Å³ per cell; crystal system = cubic; raw formation energy = 1.47 eV per atom
1.0
-0.028 4.241 -1.906
-3.132 1.059 -3.270
-3.456 2.958 0.962
K Cl Os
1 1 2
Direct
0.750 0.750 0.750
0.500 0.500 0.500
0.000 0.000 0.000
0.250 0.250 0.250



no.,total DFT energy (no corrections) (eV per atom),ρ (Mg/m³)
1,-6.976,6.6
2,-4.510,6.7
3,-1.618,4.5
4,-9.551,11.7
5,-4.659,6.7
6,-2.703,4.8
7,-3.727,9.1
8,-3.579,9.9
9,-6.676,7.7
10,-7.415,10.9
11,-7.996,12.7
12,-1.141,2.8
13,-4.168,9.8
14,-6.643,9.9
15,-3.856,3.7
16,-6.899,6.2
17,-5.042,5.9
18,-5.150,8.0
19,-5.255,7.3
20,-9.139,13.4
21,-4.040,5.1
22,-4.250,8.2
23,-4.877,10.6